(1)
# CoGe2Os

CoGe2Os after structural relaxation (PBE-GGA, Alexandria).

Cell lengths 4.640, 5.258, 5.262 Å; angles 68.04, 88.79, 68.27 degrees
Space group P-1 (No. 2)
Unique sites:
Co (0.231, 0.301, 0.410) x2
Ge (0.241, 0.289, 0.889) x2
Ge (0.248, 0.787, 0.416) x2
Os (0.233, 0.785, 0.907) x2

Summary:
The theoretical density is 11.957 Mg/m³. Its total energy is -6.851 eV per atom. The formation energy from the elements comes out at 0.0416 eV/atom. The spin magnetization comes out at 0.00 μB/cell. The calculation puts the energy above the most stable polymorph in this dataset at 0.0571 eV/atom.

(2)
# Co3Ge6Os

Co3Ge6Os after structural relaxation (PBE-GGA, Alexandria).

Cell lengths 9.884, 3.428, 10.156 Å; angles 90.00, 117.89, 90.00 degrees
Space group P2_1/m (No. 11)
Unique sites:
Co (0.039, 0.250, 0.413) x2
Co (0.122, 0.750, 0.075) x2
Co (0.460, 0.750, 0.708) x2
Ge (0.035, 0.250, 0.184) x2
Ge (0.150, 0.250, 0.669) x2
Ge (0.228, 0.750, 0.472) x2
Ge (0.280, 0.250, 0.073) x2
Ge (0.382, 0.750, 0.317) x2
Ge (0.470, 0.250, 0.876) x2
Os (0.272, 0.750, 0.873) x2

Summary:
The theoretical density is 8.767 Mg/m³. Its total energy is -6.056 eV per atom. The formation energy from the elements comes out at -0.0305 eV/atom. The spin magnetization comes out at 0.52 μB/cell. The calculation puts the energy above the most stable polymorph in this dataset at 0.0000 eV/atom.

(3)
# CoGe2Os

CoGe2Os after structural relaxation (PBE-GGA, Alexandria).

Cell lengths 6.024, 6.024, 6.024 Å; angles 90.00, 90.00, 90.00 degrees
Space group Fm-3m (No. 225)
Unique sites:
Co (0.000, 0.000, 0.000) x4
Ge (0.250, 0.250, 0.250) x8
Os (0.000, 0.000, 0.500) x4

Summary:
The theoretical density is 11.984 Mg/m³. Its total energy is -6.771 eV per atom. The formation energy from the elements comes out at 0.1219 eV/atom. The spin magnetization comes out at 3.42 μB/cell. The calculation puts the energy above the most stable polymorph in this dataset at 0.1374 eV/atom.

(4)
# Co2Ge2Os

Co2Ge2Os after structural relaxation (PBE-GGA, Alexandria).

Cell lengths 6.864, 6.864, 2.704 Å; angles 90.00, 90.00, 90.00 degrees
Space group P4/mbm (No. 127)
Unique sites:
Co (0.145, 0.355, 0.000) x4
Ge (0.152, 0.652, 0.500) x4
Os (0.000, 0.000, 0.500) x2

Summary:
The theoretical density is 11.818 Mg/m³. Its total energy is -6.851 eV per atom. The formation energy from the elements comes out at 0.0842 eV/atom. The spin magnetization comes out at 0.00 μB/cell. The calculation puts the energy above the most stable polymorph in this dataset at 0.0000 eV/atom.